Computed, not measured: a geometry-optimized PmBeCu structure at the PBE level of DFT.

The calculation puts the formation enthalpy at 0 K at -43 meV/atom. The relative energy among the computed polymorphs is 0 meV/atom.

Cell: 4.1178 4.1178 3.8277 Å, 90.00 90.00 120.00°
Last column: nearest neighbours and their distance in Å.
Space group P-6m2 (No. 187)
Inequivalent atoms, fractional coordinates:
Pm  0.0000  0.0000  0.0000  6 Cu 3.05, 6 Be 3.05
Be  0.3333  0.6667  0.5000  3 Cu 2.38
Cu  0.6667  0.3333  0.5000  3 Be 2.38

Computed, not measured: a geometry-optimized LaBeI3 structure at the PBE level of DFT.

The relative energy among the computed polymorphs is 0 meV/atom. The value obtained for the uncorrected formation energy is -0.419 eV per atom.

Cell: 6.3143 6.3143 6.3143 Å, 90.00 90.00 90.00°
Last column: nearest neighbours and their distance in Å.
Space group Pm-3m (No. 221)
Inequivalent atoms, fractional coordinates:
La  0.0000  0.0000  0.0000  6 I 3.16
Be  0.5000  0.5000  0.5000  12 I 4.46
I  0.0000  0.0000  0.5000  2 La 3.16

Computed, not measured: a geometry-optimized SrAc4La structure at the PBE level of DFT.

The calculation puts the formation enthalpy at 0 K at 228 meV/atom. The relative energy among the computed polymorphs is 194 meV/atom.

Cell: 10.4655 10.4655 10.4655 Å, 90.00 90.00 90.00°
Last column: nearest neighbours and their distance in Å.
Space group F-43m (No. 216)
Inequivalent atoms, fractional coordinates:
Sr  0.0000  0.0000  0.0000  12 Ac 4.34, 4 La 4.53
Ac  0.1238  0.1238  0.6238  6 Ac 3.66-3.74
La  0.2500  0.2500  0.2500  12 Ac 4.33, 4 Sr 4.53

Computed, not measured: a geometry-optimized CsNp2HgBr8 structure at the PBE level of DFT.

The value obtained for the uncorrected formation energy is -1.196 eV per atom.

Cell: 8.1177 8.1177 8.2597 Å, 90.00 90.00 120.00°
Last column: nearest neighbours and their distance in Å.
Space group P-3 (No. 147)
Inequivalent atoms, fractional coordinates:
Cs  0.0000  0.0000  0.0000  2 Hg 4.13, 6 Br 4.16
Np  0.3333  0.6667  0.4251  7 Br 2.76-2.98
Hg  0.0000  0.0000  0.5000  6 Br 3.36
Br  0.0528  0.4037  0.6618  2 Np 2.95-2.98
Br  0.3333  0.6667  0.0911  1 Np 2.76

Computed, not measured: a geometry-optimized NaSrGe structure at the PBE level of DFT.

The calculation puts the formation enthalpy at 0 K at -275 meV/atom.

Cell: 15.9772 4.2010 5.9995 Å, 90.00 102.89 90.00°
Last column: nearest neighbours and their distance in Å.
Space group C2/m (No. 12)
Inequivalent atoms, fractional coordinates:
Na  0.0790  0.0000  0.2914  3 Ge 3.15-3.29
Sr  0.1429  0.5000  0.8128  4 Ge 3.26-3.29
Ge  0.2292  0.5000  0.3629  2 Ge 2.66

Computed, not measured: a geometry-optimized YSiAs2 structure at the PBE level of DFT.

The value obtained for the uncorrected formation energy is -0.376 eV per atom.

Cell: 4.5229 4.5229 3.9264 Å, 90.00 90.00 90.00°
Last column: nearest neighbours and their distance in Å.
Space group P4/mmm (No. 123)
Inequivalent atoms, fractional coordinates:
Y  0.0000  0.0000  0.0000  8 As 2.99, 4 Si 3.20
Si  0.5000  0.5000  0.0000  8 As 2.99, 4 Y 3.20
As  0.0000  0.5000  0.5000  4 Si 2.99, 4 Y 2.99, 4 As 3.20

Computed, not measured: a geometry-optimized VIn2H2 structure at the PBE level of DFT.

The relative energy among the computed polymorphs is 107 meV/atom.

Cell: 5.0226 5.0226 6.2884 Å, 90.00 90.00 90.00°
Last column: nearest neighbours and their distance in Å.
Space group I4/mmm (No. 139)
Inequivalent atoms, fractional coordinates:
V  0.0000  0.0000  0.0000  2 H 2.75, 8 In 2.96
In  0.0000  0.5000  0.2500  4 H 2.78, 4 V 2.96
H  0.0000  0.0000  0.4378  1 H 0.78

Computed, not measured: a geometry-optimized Tb6Al7 structure at the PBE level of DFT.

The calculation puts the formation enthalpy at 0 K at -392 meV/atom.

Cell: 5.6855 5.6855 31.5050 Å, 90.00 90.00 120.00°
Last column: nearest neighbours and their distance in Å.
Space group R-3m (No. 166, hexagonal axes)
Inequivalent atoms, fractional coordinates:
Tb  0.0000  0.0000  0.0508  2 Tb 3.09-3.20, 6 Al 3.17
Tb  0.0000  0.0000  0.1489  1 Tb 3.09, 12 Al 3.25-3.33
Tb  0.0000  0.0000  0.3349  9 Tb 3.28-3.67, 6 Al 3.39-3.44
Al  0.0000  0.0000  0.5000  6 Al 2.81
Al  0.0059  0.5029  0.9050  5 Al 2.79-2.89

Computed, not measured: a geometry-optimized GaSnSb2Rh structure at the PBE level of DFT.

The value obtained for the uncorrected formation energy is 0.925 eV per atom.

Cell: 5.1889 5.1889 5.0953 Å, 90.00 90.00 90.00°
Last column: nearest neighbours and their distance in Å.
Space group P4/mmm (No. 123)
Inequivalent atoms, fractional coordinates:
Ga  0.0000  0.0000  0.0000  2 Sn 2.55, 4 Sb 2.59
Sn  0.0000  0.0000  0.5000  2 Ga 2.55
Sb  0.0000  0.5000  0.0000  2 Ga 2.59
Rh  0.5000  0.5000  0.5000  8 Sb 3.64, 4 Sn 3.67

Computed, not measured: a geometry-optimized Np5SeS4 structure at the PBE level of DFT.

The value obtained for the uncorrected formation energy is -1.291 eV per atom.

Cell: 3.9385 5.5846 19.7755 Å, 90.00 90.00 90.00°
Last column: nearest neighbours and their distance in Å.
Space group Immm (No. 71)
Inequivalent atoms, fractional coordinates:
Np  0.0000  0.0000  0.0000  4 S 2.79, 2 Se 2.79
Np  0.0000  0.0000  0.1993  6 S 2.76-2.79
Np  0.0000  0.0000  0.3940  4 S 2.75-2.79, 2 Se 2.88
Se  0.0000  0.5000  0.0000  6 Np 2.79-2.88
S  0.0000  0.5000  0.2028  6 Np 2.75-2.79
S  0.0000  0.5000  0.4002  6 Np 2.78-2.79

Computed, not measured: a geometry-optimized K2ScCdSn structure at the PBE level of DFT.

The calculation puts the formation enthalpy at 0 K at 585 meV/atom.

Cell: 6.3181 6.3181 5.4158 Å, 90.00 90.00 90.00°
Last column: nearest neighbours and their distance in Å.
Space group P4/mmm (No. 123)
Inequivalent atoms, fractional coordinates:
K  0.0000  0.5000  0.0000  2 Cd 3.16
Sc  0.0000  0.0000  0.5000  8 K 4.16, 4 Sn 4.47
Cd  0.5000  0.5000  0.0000  2 Sn 2.71
Sn  0.5000  0.5000  0.5000  2 Cd 2.71

Computed, not measured: a geometry-optimized Nd2PaReN5 structure at the PBE level of DFT.

The value obtained for the uncorrected formation energy is -1.138 eV per atom.

Cell: 3.8730 3.8730 8.6229 Å, 90.00 90.00 90.00°
Last column: nearest neighbours and their distance in Å.
Space group P4/mmm (No. 123)
Inequivalent atoms, fractional coordinates:
Nd  0.0000  0.0000  0.2067  9 N 2.53-2.77
Pa  0.5000  0.5000  0.5000  2 N 2.09
Re  0.5000  0.5000  0.0000  4 N 1.94
N  0.0000  0.0000  0.5000  2 Nd 2.53, 4 Pa 2.74
N  0.0000  0.5000  0.0000  2 Re 1.94
N  0.5000  0.5000  0.2582  1 Pa 2.09, 1 Re 2.23

Computed, not measured: a geometry-optimized Zr2AgCl structure at the PBE level of DFT.

The relative energy among the computed polymorphs is 632 meV/atom. The value obtained for the uncorrected formation energy is 0.133 eV per atom.

Cell: 4.0069 4.0069 10.3470 Å, 90.00 90.00 90.00°
Last column: nearest neighbours and their distance in Å.
Space group I-4m2 (No. 119)
Inequivalent atoms, fractional coordinates:
Zr  0.0000  0.0000  0.0000  4 Cl 2.83
Zr  0.0000  0.5000  0.2500  4 Ag 2.83
Ag  0.0000  0.5000  0.7500  4 Zr 2.83
Cl  0.0000  0.0000  0.5000  4 Zr 2.83

Computed, not measured: a geometry-optimized BiSbPd4 structure at the PBE level of DFT.

The relative energy among the computed polymorphs is 0 meV/atom. The value obtained for the uncorrected formation energy is -0.324 eV per atom.

Cell: 9.3242 3.6406 6.9924 Å, 90.00 111.62 90.00°
Last column: nearest neighbours and their distance in Å.
Space group C2/m (No. 12)
Inequivalent atoms, fractional coordinates:
Bi  0.0000  0.0000  0.0000  10 Pd 2.82-3.02
Sb  0.0000  0.0000  0.5000  10 Pd 2.78-2.96
Pd  0.1590  0.5000  0.3502  3 Sb 2.78-2.96, 5 Pd 2.82-2.91, 2 Bi 2.97
Pd  0.1746  0.5000  0.8181  3 Bi 2.82-3.02, 2 Sb 2.87, 5 Pd 2.89-3.02

Computed, not measured: a geometry-optimized FeSiI2 structure at the PBE level of DFT.

The relative energy among the computed polymorphs is 80 meV/atom. The value obtained for the uncorrected formation energy is 0.844 eV per atom.

Cell: 7.1934 7.1934 7.1934 Å, 90.00 90.00 90.00°
Last column: nearest neighbours and their distance in Å.
Space group Fm-3m (No. 225)
Inequivalent atoms, fractional coordinates:
Fe  0.0000  0.0000  0.0000  8 I 3.11
Si  0.0000  0.0000  0.5000  8 I 3.11
I  0.2500  0.2500  0.2500  4 Fe 3.11, 4 Si 3.11

Computed, not measured: a geometry-optimized LaNd5Dy6 structure at the PBE level of DFT.

The calculation puts the formation enthalpy at 0 K at 12 meV/atom. The relative energy among the computed polymorphs is 0 meV/atom.

Cell: 6.2890 10.8915 11.8800 Å, 90.00 100.12 90.00°
Last column: nearest neighbours and their distance in Å.
Space group C2/m (No. 12)
Inequivalent atoms, fractional coordinates:
La  0.0000  0.0000  0.0000  6 Dy 3.61, 6 Nd 3.63
Nd  0.0000  0.1669  0.5000  6 Dy 3.59, 6 Nd 3.63-3.64
Nd  0.0000  0.3332  0.0000  6 Dy 3.60-3.61, 3 La 3.63, 3 Nd 3.63
Nd  0.0000  0.5000  0.5000  6 Dy 3.59, 6 Nd 3.63
Dy  0.2494  0.3330  0.7492  5 Nd 3.59-3.60, 1 La 3.61, 6 Dy 3.63-3.64
Dy  0.2495  0.5000  0.2509  5 Nd 3.59-3.61, 1 La 3.61, 6 Dy 3.63-3.64

Computed, not measured: a geometry-optimized Ag2OsPt structure at the PBE level of DFT.

The calculation puts the formation enthalpy at 0 K at 540 meV/atom. The relative energy among the computed polymorphs is 285 meV/atom.

Cell: 2.7603 4.9139 9.9247 Å, 90.00 90.00 90.00°
Last column: nearest neighbours and their distance in Å.
Space group Imm2 (No. 44)
Inequivalent atoms, fractional coordinates:
Ag  0.0000  0.0000  0.0000  4 Ag 2.76-3.02, 4 Os 2.83, 2 Pt 2.89
Ag  0.0000  0.5000  0.2292  4 Ag 2.76-3.02, 4 Pt 2.83, 2 Os 2.88
Os  0.0000  0.0000  0.4749  2 Pt 2.58, 2 Os 2.76, 6 Ag 2.83-2.88
Pt  0.0000  0.5000  0.7554  2 Os 2.58, 2 Pt 2.76, 6 Ag 2.83-2.89

Computed, not measured: a geometry-optimized TmBe2Co structure at the PBE level of DFT.

The calculation puts the formation enthalpy at 0 K at -200 meV/atom.

Cell: 3.7048 3.7048 14.1254 Å, 90.00 90.00 120.00°
Last column: nearest neighbours and their distance in Å.
Space group R-3m (No. 166, hexagonal axes)
Inequivalent atoms, fractional coordinates:
Tm  0.0000  0.0000  0.0000  8 Be 2.75-2.90
Be  0.0000  0.0000  0.1944  3 Co 2.17, 3 Be 2.28
Co  0.0000  0.0000  0.5000  6 Be 2.17

Computed, not measured: a geometry-optimized HgH3O structure at the PBE level of DFT.

The relative energy among the computed polymorphs is 0 meV/atom.

Cell: 3.4806 3.4806 3.4806 Å, 90.00 90.00 90.00°
Last column: nearest neighbours and their distance in Å.
Space group Pm-3m (No. 221)
Inequivalent atoms, fractional coordinates:
Hg  0.0000  0.0000  0.0000  12 H 2.46
H  0.0000  0.5000  0.5000  2 O 1.74
O  0.5000  0.5000  0.5000  6 H 1.74

Computed, not measured: a geometry-optimized LiZnSn2 structure at the PBE level of DFT.

The calculation puts the formation enthalpy at 0 K at -76 meV/atom.

Cell: 8.6701 5.2200 7.8828 Å, 90.00 103.03 90.00°
Last column: nearest neighbours and their distance in Å.
Space group C2/c (No. 15)
Inequivalent atoms, fractional coordinates:
Li  0.0000  0.2492  0.2500  8 Sn 2.95-3.13, 2 Zn 3.24
Zn  0.2500  0.2500  0.0000  6 Sn 2.87-3.07
Sn  0.1306  0.2505  0.6296  3 Zn 2.87-3.07, 4 Li 2.95-3.13

Computed, not measured: a geometry-optimized Bi2PO6 structure at the PBE level of DFT.

The relative energy among the computed polymorphs is 293 meV/atom. The value obtained for the uncorrected formation energy is -1.254 eV per atom.

Cell: 4.9841 4.9841 9.5668 Å, 90.00 90.00 90.00°
Last column: nearest neighbours and their distance in Å.
Space group P4_2/mnm (No. 136)
Inequivalent atoms, fractional coordinates:
Bi  0.0000  0.0000  0.1655  6 O 2.26-2.41
P  0.0000  0.0000  0.5000  6 O 1.71-1.76
O  0.1710  0.1710  0.3657  1 P 1.76
O  0.2420  0.7580  0.5000  1 P 1.71

Computed, not measured: a geometry-optimized Sm3BiI7 structure at the PBE level of DFT.

The value obtained for the uncorrected formation energy is -1.159 eV per atom.

Cell: 8.8629 8.8629 7.5493 Å, 90.00 90.00 120.00°
Last column: nearest neighbours and their distance in Å.
Space group P3m1 (No. 156)
Inequivalent atoms, fractional coordinates:
Sm  0.1728  0.3456  0.0000  5 I 3.10-3.24, 1 Bi 3.23
Bi  0.3333  0.6667  0.2756  3 Sm 3.23
I  0.0000  0.0000  0.7536  3 Sm 3.24
I  0.0043  0.5021  0.7561  2 Sm 3.10
I  0.3290  0.1645  0.2292  2 Sm 3.12

Computed, not measured: a geometry-optimized LiP2W structure at the PBE level of DFT.

The calculation puts the formation enthalpy at 0 K at -118 meV/atom. The relative energy among the computed polymorphs is 222 meV/atom.

Cell: 3.3947 3.3947 4.8534 Å, 90.00 90.00 90.00°
Last column: nearest neighbours and their distance in Å.
Space group P4mm (No. 99)
Inequivalent atoms, fractional coordinates:
Li  0.0000  0.0000  0.0000  6 P 2.42-2.51
P  0.0000  0.0000  0.4981  2 Li 2.42-2.44, 4 W 2.55
P  0.5000  0.5000  0.1545  2 W 2.33-2.53, 4 Li 2.51
W  0.5000  0.5000  0.6749  6 P 2.33-2.55

Computed, not measured: a geometry-optimized Ac2GaBr structure at the PBE level of DFT.

The relative energy among the computed polymorphs is 93 meV/atom. The value obtained for the uncorrected formation energy is -0.822 eV per atom.

Cell: 4.5810 4.5810 24.1073 Å, 90.00 90.00 120.00°
Last column: nearest neighbours and their distance in Å.
Space group R3m (No. 160, hexagonal axes)
Inequivalent atoms, fractional coordinates:
Ac  0.0000  0.0000  0.0000  3 Ga 3.14, 3 Br 3.45
Ac  0.0000  0.0000  0.1917  3 Ga 3.15
Ga  0.0000  0.0000  0.5962  6 Ac 3.14-3.15
Br  0.0000  0.0000  0.4249  6 Ac 3.45-3.58

Calculated N(E_F) in order - 0.862, 0.000, 1.449, 1.032, 0.331, 0.468, 0.958, 0.838, 0.816, 3.492, 2.297, 0.182, 1.494, 0.478, 0.735, 1.154, 0.999, 0.774, 0.340, 0.302, 0.608, 0.616, 0.342, 1.043 states/eV/atom